## Li2Sb (GGA-PBEsol)

Data for an optimized crystal structure of Li2Sb.

Geometry as extended XYZ:
```
6
Lattice="1.597 -4.597 0.000 1.597 4.597 0.000 0.000 0.000 7.835" Properties=species:S:1:pos:R:3 pbc="T T T"
Li 1.597 3.767 3.917
Li 1.597 1.327 5.313
Li 1.597 -1.327 1.395
Li 1.597 -3.767 0.000
Sb 1.597 1.213 2.508
Sb 1.597 -1.213 6.426
```

As for the crystal system: orthorhombic. The value obtained for the density of states at the Fermi level is 0.29 states/eV per atom.

***

## LiSb (GGA-PBEsol)

Data for an optimized crystal structure of LiSb.

Geometry as extended XYZ:
```
2
Lattice="1.646 0.951 4.473 -1.646 0.951 4.473 0.000 -1.901 4.473" Properties=species:S:1:pos:R:3 pbc="T T T"
Li 0.000 0.000 0.000
Sb 0.000 0.000 6.709
```

As for the crystal system: trigonal. The value obtained for the density of states at the Fermi level is 0.48 states/eV per atom.

***

no.,formation energy without anion corrections (meV/atom),magnetization (μB per cell),relative energy among the computed polymorphs (kcal/mol of atoms)
1,-561,0.00,0.65
2,-388,0.00,1.05